Here is a relaxed Rb2CuGeBr6 crystal from the Open Quantum Materials Database. Energies are from GGA-PBE.

Properties
Final energy, eV for the cell shown: -30.02

Unit cell a=7.533 b=7.533 c=7.533 alpha=59.92 beta=59.92 gamma=59.92
Fractional positions:
Rb: 0.250 0.250 0.250
Rb: 0.750 0.750 0.750
Cu: 0.000 0.000 0.000
Ge: 0.500 0.500 0.500
Br: 0.245 0.247 0.754
Br: 0.246 0.755 0.753
Br: 0.247 0.754 0.245
Br: 0.753 0.246 0.755
Br: 0.754 0.245 0.247
Br: 0.755 0.753 0.246